! Tb2ThHg | Alexandria via LeMat-Bulk | PBE | optimized geometry; values from VASP
! ΔE to the lowest computed polymorph: 85 meV/atom
! energy relative to the elements: -0.170 eV per atom
! calculated density: 10.4 g/cm3
! M_tot: 0.00 μB per formula unit
&SYSTEM
  ibrav = 0, nat = 4, ntyp = 3
/
ATOMIC_SPECIES
Tb 158.93 Tb.upf
Th 232.04 Th.upf
Hg 200.59 Hg.upf
CELL_PARAMETERS angstrom
1.813 1.047 10.513
-1.813 1.047 10.513
0.000 -2.093 10.513
ATOMIC_POSITIONS crystal
Tb 0.243 0.243 0.243
Tb 0.757 0.757 0.757
Th 0.000 0.000 0.000
Hg 0.500 0.500 0.500

! TbTiHg2 | Alexandria via LeMat-Bulk | PBE | optimized geometry; values from VASP
! ΔE to the lowest computed polymorph: 0 meV/atom
! energy relative to the elements: -0.185 eV per atom
! calculated density: 11.3 g/cm3
! M_tot: 1.24 μB per formula unit
&SYSTEM
  ibrav = 0, nat = 4, ntyp = 3
/
ATOMIC_SPECIES
Tb 158.93 Tb.upf
Ti 47.87 Ti.upf
Hg 200.59 Hg.upf
CELL_PARAMETERS angstrom
3.532 0.000 0.000
0.000 3.532 0.000
0.000 0.000 7.179
ATOMIC_POSITIONS crystal
Tb 0.000 0.000 0.000
Ti 0.000 0.000 0.500
Hg 0.500 0.500 0.280
Hg 0.500 0.500 0.720

The lowest M_tot belongs to which entry?
Tb2ThHg